Computed, not measured: crystalline CsBrCl3 at its relaxed geometry at the PBE-GGA level of DFT.

For the magnetic moment, the calculation gives 0.000 μB per formula unit. The crystal system is cubic. The total DFT energy (no corrections) is -167.3 eV per cell.

The structure belongs to space group Fd-3m (No. 227, origin choice 2); the cell edges are 14.629, 14.629 and 14.629 Å and the angles 90.00°, 90.00° and 90.00°. Symmetry generates all atoms from Cs at (0.000, 0.000, 0.000), Br at (0.000, 0.000, 0.500) and Cl at (0.060, 0.375, 0.875).